[1]
Below is crystalline Y3Tc2Ge4 at its relaxed geometry, with properties calculated at the GGA-PBE level.

POSCAR file:
```
Y3Tc2Ge4
1.0
4.3673 0.0000 0.0000
-2.1837 5.4317 -0.2430
0.0000 -2.5416 7.8653
Tc Y Ge
2 3 4
Cartesian
0.0000 1.8530 4.9112
2.1837 1.0371 2.7112
0.0000 3.2812 2.1969
0.0000 0.0000 0.0000
2.1837 -0.3912 5.4255
0.0000 0.8323 7.1210
2.1837 2.0577 0.5014
2.1837 2.9088 4.4488
0.0000 -0.0188 3.1736
```

Calculated values
Raw total energy, eV/cell: -64.43
Total magnetization, Bohr magnetons per cell: 0.000
Formation energy, eV per atom: -0.6484

---

[2]
Below is crystalline YMgCd3 at its relaxed geometry, with properties calculated at the GGA-PBE level.

POSCAR file:
```
YMgCd3
1.0
5.9237 0.0000 0.0000
0.0000 6.9316 -0.0015
0.0000 -3.4652 6.0033
Cd Y Mg
6 2 2
Cartesian
4.4428 0.0000 2.3562
1.4809 3.4664 3.6456
4.4428 -1.4248 4.8248
1.4809 4.8911 1.1770
4.4428 1.4255 4.8243
1.4809 2.0409 1.1775
1.4809 0.0005 4.0016
4.4428 3.4659 2.0002
0.0000 0.0000 0.0000
2.9619 0.0000 0.0000
```

Calculated values
Raw total energy, eV/cell: -22.44
Total magnetization, Bohr magnetons per cell: 0.000
Formation energy, eV per atom: -0.0830

---

[3]
Below is crystalline TbHo4Tl5 at its relaxed geometry, with properties calculated at the GGA-PBE level.

POSCAR file:
```
TbHo4Tl5
1.0
3.7497 0.0000 0.0000
0.0000 3.7497 0.0000
0.0000 0.0000 19.3122
Ho Tl Tb
4 5 1
Cartesian
0.0000 0.0000 7.7338
0.0000 0.0000 15.4234
0.0000 0.0000 3.8889
0.0000 0.0000 11.5784
1.8748 1.8748 13.4989
1.8748 1.8748 1.9662
1.8748 1.8748 5.8134
1.8748 1.8748 9.6561
1.8748 1.8748 17.3460
0.0000 0.0000 0.0000
```

Calculated values
Raw total energy, eV/cell: -38.10
Total magnetization, Bohr magnetons per cell: 0.000
Formation energy, eV per atom: -0.3324